! ThNb6S8 GGA-PBE relaxed; values from VASP
&SYSTEM
  ibrav = 0, nat = 15, ntyp = 3
/
ATOMIC_SPECIES
S 32.06 S.upf
Th 232.04 Th.upf
Nb 92.91 Nb.upf
CELL_PARAMETERS angstrom
6.618 0.257 0.265
0.051 6.622 0.265
0.051 0.052 6.627
ATOMIC_POSITIONS crystal
S 0.870 0.238 0.615
S 0.762 0.385 0.130
S 0.615 0.870 0.238
S 0.233 0.233 0.233
S 0.767 0.767 0.767
S 0.385 0.130 0.762
S 0.130 0.762 0.385
S 0.238 0.615 0.870
Th 0.000 0.000 0.000
Nb 0.202 0.411 0.558
Nb 0.798 0.589 0.442
Nb 0.411 0.558 0.202
Nb 0.442 0.798 0.589
Nb 0.589 0.442 0.798
Nb 0.558 0.202 0.411
! - Raw total energy: -7.779 eV/atom
! - Calculated volume: 19.3 Å³ per atom
! - Total magnetic moment: 0.0000 μB/atom
! - Space group: No. 148